1.
A plane-wave DFT calculation with GGA-PBE was carried out for a relaxed Pr12Ni6Bi crystal.

Summary:
Total magnetic moment in μB per atom: 0.000
Density in g cm⁻³: 7.05
DOS(E_F) in states/eV/cell: 20.9
E_form in eV per atom: -0.29
Crystal system: cubic

Cell lengths 8.831, 8.831, 8.831 Å; angles 109.47, 109.47, 109.47 degrees
Atoms (fractional coordinates):
Pr1 0.877 0.186 0.690
Pr2 0.814 0.690 0.504
Pr3 0.310 0.123 0.814
Pr4 0.504 0.814 0.690
Pr5 0.186 0.310 0.496
Pr6 0.690 0.877 0.186
Pr7 0.186 0.690 0.877
Pr8 0.123 0.814 0.310
Pr9 0.814 0.310 0.123
Pr10 0.690 0.504 0.814
Pr11 0.496 0.186 0.310
Pr12 0.310 0.496 0.186
Ni1 0.880 0.380 0.500
Ni2 0.620 0.500 0.120
Ni3 0.500 0.880 0.380
Ni4 0.500 0.120 0.620
Ni5 0.120 0.620 0.500
Ni6 0.380 0.500 0.880
Bi1 0.000 0.000 0.000

***

2.
A plane-wave DFT calculation with GGA-PBE was carried out for a relaxed PrNiBi crystal.

Summary:
Total magnetic moment in μB per atom: 0.000
Density in g cm⁻³: 9.32
DOS(E_F) in states/eV/cell: 4.6
E_form in eV per atom: -0.50
Crystal system: monoclinic

Cell lengths 4.234, 6.268, 9.142 Å; angles 136.49, 90.00, 109.74 degrees
Atoms (fractional coordinates):
Ni1 0.055 0.109 0.184
Ni2 0.945 0.891 0.816
Bi1 0.429 0.857 0.613
Bi2 0.571 0.143 0.387
Pr1 0.269 0.538 0.829
Pr2 0.731 0.462 0.171

***

3.
A plane-wave DFT calculation with GGA-PBE was carried out for a relaxed PrNiBi crystal.

Summary:
Total magnetic moment in μB per atom: 0.000
Density in g cm⁻³: 9.12
DOS(E_F) in states/eV/cell: 0.0
E_form in eV per atom: -0.65
Crystal system: cubic

Cell lengths 4.720, 4.720, 4.720 Å; angles 60.00, 60.00, 60.00 degrees
Atoms (fractional coordinates):
Pr1 0.500 0.500 0.500
Bi1 0.000 0.000 0.000
Ni1 0.250 0.250 0.250

***

4.
A plane-wave DFT calculation with GGA-PBE was carried out for a relaxed Pr12Ni5Bi crystal.

Summary:
Total magnetic moment in μB per atom: 0.000
Density in g cm⁻³: 7.10
DOS(E_F) in states/eV/cell: 18.8
E_form in eV per atom: -0.27
Crystal system: orthorhombic

Cell lengths 8.746, 8.746, 8.746 Å; angles 106.09, 112.67, 109.72 degrees
Atoms (fractional coordinates):
Pr1 0.810 0.010 0.200
Pr2 0.517 0.819 0.698
Pr3 0.310 0.680 0.989
Pr4 0.190 0.990 0.800
Pr5 0.810 0.610 0.800
Pr6 0.690 0.680 0.370
Pr7 0.690 0.320 0.011
Pr8 0.310 0.320 0.630
Pr9 0.879 0.181 0.698
Pr10 0.483 0.181 0.302
Pr11 0.190 0.390 0.200
Pr12 0.121 0.819 0.302
Bi1 0.000 0.500 0.500
Ni1 0.629 0.629 0.000
Ni2 0.500 0.879 0.379
Ni3 0.000 0.000 0.000
Ni4 0.500 0.121 0.621
Ni5 0.371 0.371 0.000

***

5.
A plane-wave DFT calculation with GGA-PBE was carried out for a relaxed PrNiBi2 crystal.

Summary:
Total magnetic moment in μB per atom: 0.000
Density in g cm⁻³: 9.17
DOS(E_F) in states/eV/cell: 3.9
E_form in eV per atom: 0.07
Crystal system: trigonal

Cell lengths 3.561, 3.561, 10.395 Å; angles 80.14, 80.14, 60.00 degrees
Atoms (fractional coordinates):
Ni1 0.500 0.500 0.500
Bi1 0.891 0.891 0.326
Bi2 0.109 0.109 0.674
Pr1 0.000 0.000 0.000

***

6.
A plane-wave DFT calculation with GGA-PBE was carried out for a relaxed PrNiBi crystal.

Summary:
Total magnetic moment in μB per atom: 0.000
Density in g cm⁻³: 9.39
DOS(E_F) in states/eV/cell: 2.9
E_form in eV per atom: -0.23
Crystal system: tetragonal

Cell lengths 3.503, 3.503, 6.392 Å; angles 105.90, 105.90, 90.00 degrees
Atoms (fractional coordinates):
Bi1 0.921 0.921 0.841
Ni1 0.288 0.288 0.576
Pr1 0.641 0.641 0.283

***

7.
A plane-wave DFT calculation with GGA-PBE was carried out for a relaxed Pr3NiBi crystal.

Summary:
Total magnetic moment in μB per atom: 0.000
Density in g cm⁻³: 7.21
Energy relative to the lowest polymorph listed for this composition in meV per atom: 24.2
DOS(E_F) in states/eV/cell: 5.7
E_form in eV per atom: -0.34
Crystal system: cubic

Cell lengths 5.418, 5.418, 5.418 Å; angles 90.00, 90.00, 90.00 degrees
Atoms (fractional coordinates):
Ni1 0.000 0.000 0.000
Pr1 0.000 0.500 0.000
Pr2 0.500 0.000 0.000
Pr3 0.000 0.000 0.500
Bi1 0.500 0.500 0.500

***

8.
A plane-wave DFT calculation with GGA-PBE was carried out for a relaxed Pr2Ni4BiSb3 crystal.

Summary:
Total magnetic moment in μB per atom: 0.000
Density in g cm⁻³: 8.71
Formation energy without anion corrections in meV per atom: -575
DOS(E_F) in states/eV/cell: 5.5
Crystal system: tetragonal

Cell lengths 4.523, 4.523, 10.163 Å; angles 90.00, 90.00, 90.00 degrees
Atoms (fractional coordinates):
Pr1 0.500 0.000 0.231
Pr2 0.000 0.500 0.769
Bi1 0.500 0.500 0.500
Ni1 0.500 0.500 0.000
Ni2 0.500 0.000 0.631
Ni3 0.000 0.000 0.000
Ni4 0.000 0.500 0.369
Sb1 0.500 0.000 0.877
Sb2 0.000 0.500 0.123
Sb3 0.000 0.000 0.500

***

9.
A plane-wave DFT calculation with GGA-PBE was carried out for a relaxed NiBi6Pt crystal.

Summary:
Total magnetic moment in μB per atom: 0.000
Density in g cm⁻³: 10.57
Energy relative to the lowest polymorph listed for this composition in meV per atom: 0.0
DOS(E_F) in states/eV/cell: 8.0
E_form in eV per atom: -0.09
Crystal system: monoclinic

Cell lengths 8.494, 8.494, 8.519 Å; angles 109.49, 109.40, 109.40 degrees
Atoms (fractional coordinates):
Bi1 0.671 0.824 0.167
Bi2 0.329 0.176 0.833
Bi3 0.835 0.674 0.509
Bi4 0.496 0.167 0.343
Bi5 0.154 0.654 0.809
Bi6 0.504 0.833 0.657
Bi7 0.165 0.326 0.491
Bi8 0.176 0.847 0.343
Bi9 0.824 0.153 0.657
Bi10 0.343 0.496 0.167
Bi11 0.846 0.346 0.191
Bi12 0.657 0.504 0.833
Pt1 0.000 0.500 0.000
Pt2 0.500 0.000 0.000
Ni1 0.500 0.500 0.500
Ni2 0.000 0.000 0.500

***

10.
A plane-wave DFT calculation with GGA-PBE was carried out for a relaxed NiBiPt3 crystal.

Summary:
Total magnetic moment in μB per atom: 0.066
Density in g cm⁻³: 16.35
Energy relative to the lowest polymorph listed for this composition in meV per atom: 0.0
DOS(E_F) in states/eV/cell: 9.6
E_form in eV per atom: -0.05
Crystal system: triclinic

Cell lengths 5.144, 5.580, 6.650 Å; angles 112.15, 99.38, 92.48 degrees
Atoms (fractional coordinates):
Pt1 0.666 0.604 0.719
Pt2 0.848 0.244 0.369
Pt3 0.152 0.756 0.631
Pt4 0.314 0.920 0.308
Pt5 0.686 0.080 0.692
Pt6 0.334 0.396 0.281
Ni1 0.000 0.000 0.000
Ni2 0.500 0.000 0.000
Bi1 0.787 0.668 0.205
Bi2 0.213 0.332 0.795

***

11.
A plane-wave DFT calculation with GGA-PBE was carried out for a relaxed Ni2Bi6Pt crystal.

Summary:
Total magnetic moment in μB per atom: 0.000
Density in g cm⁻³: 11.26
DOS(E_F) in states/eV/cell: 4.1
E_form in eV per atom: -0.07
Crystal system: trigonal

Cell lengths 5.517, 6.954, 6.954 Å; angles 120.00, 90.00, 90.00 degrees
Atoms (fractional coordinates):
Pt1 0.000 0.000 0.000
Bi1 0.760 0.000 0.358
Bi2 0.240 0.642 0.000
Bi3 0.240 0.358 0.358
Bi4 0.240 0.000 0.642
Bi5 0.760 0.642 0.642
Bi6 0.760 0.358 0.000
Ni1 0.500 0.667 0.333
Ni2 0.500 0.333 0.667

***

12.
A plane-wave DFT calculation with GGA-PBE was carried out for a relaxed Ni2Bi8Pt crystal.

Summary:
Total magnetic moment in μB per atom: 0.000
Density in g cm⁻³: 10.52
DOS(E_F) in states/eV/cell: 5.1
E_form in eV per atom: 0.07
Crystal system: monoclinic

Cell lengths 5.177, 8.350, 8.350 Å; angles 60.16, 90.82, 90.82 degrees
Atoms (fractional coordinates):
Bi1 0.802 0.650 0.650
Bi2 0.267 0.348 0.810
Bi3 0.733 0.190 0.652
Bi4 0.267 0.810 0.348
Bi5 0.732 0.170 0.170
Bi6 0.198 0.350 0.350
Bi7 0.268 0.830 0.830
Bi8 0.733 0.652 0.190
Pt1 0.000 0.000 0.000
Ni1 0.767 0.829 0.829
Ni2 0.233 0.171 0.171